The following is a PBE with a Hubbard U calculation of an optimized crystal structure of Na2V2CrO6, from Alexandria via LeMat-Bulk.

Values from the calculation:
Total energy ... -6.818 eV per atom

Unit cell a=5.0343 b=5.0343 c=5.7647 alpha=97.40 beta=97.40 gamma=117.84
Closest atoms and distances in Å follow each position.
Fractional coordinates of all 11 atoms:
Na (0.8263, 0.1737, 0.0000)  6 O 2.38-2.42
Na (0.1737, 0.8263, 0.0000)  6 O 2.38-2.42
V (0.3549, 0.6451, 0.5000)  6 O 1.97-2.12
V (0.6451, 0.3549, 0.5000)  6 O 1.97-2.12
Cr (0.0000, 0.0000, 0.5000)  6 O 2.02
O (0.7436, 0.7436, 0.7126)  2 V 1.97, 1 Cr 2.02
O (0.0615, 0.4005, 0.6847)  2 V 1.97-2.12, 1 Cr 2.02
O (0.2564, 0.2564, 0.2874)  2 V 1.97, 1 Cr 2.02
O (0.4005, 0.0615, 0.6847)  2 V 1.97-2.12, 1 Cr 2.02
O (0.9385, 0.5995, 0.3153)  2 V 1.97-2.12, 1 Cr 2.02
O (0.5995, 0.9385, 0.3153)  2 V 1.97-2.12, 1 Cr 2.02